Mg30ZnCoO32 PBEsol optimized geometry; total magnetic moment = 0.880 μB per cell; electronic total energy = -396.81 eV for the cell shown; crystal system = tetragonal; space group = P4/mmm, No. 123; V = 598.8 Å³/cell; formation energy from raw total energies = -2.625 eV per atom
1.0
8.432 0.000 0.000
0.000 8.432 0.000
0.000 0.000 8.421
Mg Zn Co O
30 1 1 32
Direct
0.000 0.000 0.000 Mg
0.000 0.000 0.500 Mg
0.000 0.250 0.250 Mg
0.000 0.250 0.750 Mg
0.000 0.500 0.000 Mg
0.000 0.500 0.500 Mg
0.000 0.750 0.250 Mg
0.000 0.750 0.750 Mg
0.250 0.000 0.250 Mg
0.250 0.000 0.750 Mg
0.250 0.250 0.000 Mg
0.250 0.750 0.000 Mg
0.251 0.500 0.252 Mg
0.251 0.500 0.748 Mg
0.252 0.252 0.500 Mg
0.252 0.748 0.500 Mg
0.500 0.000 0.000 Mg
0.500 0.000 0.500 Mg
0.500 0.251 0.252 Mg
0.500 0.251 0.748 Mg
0.500 0.749 0.252 Mg
0.500 0.749 0.748 Mg
0.748 0.252 0.500 Mg
0.748 0.748 0.500 Mg
0.749 0.500 0.252 Mg
0.749 0.500 0.748 Mg
0.750 0.000 0.250 Mg
0.750 0.000 0.750 Mg
0.750 0.250 0.000 Mg
0.750 0.750 0.000 Mg
0.500 0.500 0.000 Zn
0.500 0.500 0.500 Co
0.000 0.000 0.250 O
0.000 0.000 0.750 O
0.000 0.250 0.000 O
0.000 0.250 0.500 O
0.000 0.500 0.250 O
0.000 0.500 0.750 O
0.000 0.750 0.000 O
0.000 0.750 0.500 O
0.249 0.500 0.500 O
0.250 0.000 0.000 O
0.250 0.000 0.500 O
0.250 0.500 0.000 O
0.251 0.251 0.250 O
0.251 0.251 0.750 O
0.251 0.749 0.250 O
0.251 0.749 0.750 O
0.500 0.000 0.250 O
0.500 0.000 0.750 O
0.500 0.249 0.500 O
0.500 0.250 0.000 O
0.500 0.500 0.260 O
0.500 0.500 0.740 O
0.500 0.750 0.000 O
0.500 0.751 0.500 O
0.749 0.251 0.250 O
0.749 0.251 0.750 O
0.749 0.749 0.250 O
0.749 0.749 0.750 O
0.750 0.000 0.000 O
0.750 0.000 0.500 O
0.750 0.500 0.000 O
0.751 0.500 0.500 O